## Pa3CrN2O6 (GGA+U)

Data for crystalline Pa3CrN2O6 at its relaxed geometry.

Properties
The density of states at the Fermi level is 0.00 states/eV/f.u. For the final energy, the calculation gives -9.44 eV per atom.

Lattice parameters (Å, degrees): 11.0084 6.9147 4.6339 90.00 91.43 90.00
Space group C2/m (No. 12)
Asymmetric unit:
Pa: 0.0000 0.0000 0.0000 (multiplicity 2)
Pa: 0.2500 0.2500 0.5000 (multiplicity 4)
Cr: 0.0000 0.5000 0.5000 (multiplicity 2)
N: 0.1655 0.0000 0.2575 (multiplicity 4)
O: 0.0784 0.2599 0.7360 (multiplicity 8)
O: 0.1589 0.5000 0.3011 (multiplicity 4)